First-principles (PBE) data for Ac after structural relaxation, as listed in Alexandria via LeMat-Bulk.

CIF file:
```
data_Ac
_space_group_name_H-M_alt 'P 63/m m c'
_space_group_IT_number 194
_space_group_name_Hall '-P 6c 2c'
_cell_length_a 4.0341
_cell_length_b 4.0341
_cell_length_c 6.4738
_cell_angle_alpha 90.00
_cell_angle_beta 90.00
_cell_angle_gamma 120.00
loop_
_atom_site_label
_atom_site_fract_x
_atom_site_fract_y
_atom_site_fract_z
Ac1 0.3333 0.6667 0.2500
```

The energy of formation from the pure elements is 0.025 eV/atom. The energy relative to the lowest polymorph listed for this composition comes out at 25 meV per atom.



First-principles (PBE) data for Al3TeS8 after structural relaxation, as listed in Alexandria via LeMat-Bulk.

CIF file:
```
data_Al3TeS8
_space_group_name_H-M_alt 'C 1 2/m 1'
_space_group_IT_number 12
_space_group_name_Hall '-C 2y'
_cell_length_a 11.888
_cell_length_b 6.862
_cell_length_c 8.126
_cell_angle_alpha 90.00
_cell_angle_beta 119.95
_cell_angle_gamma 90.00
loop_
_atom_site_label
_atom_site_fract_x
_atom_site_fract_y
_atom_site_fract_z
Al1 0.000 0.000 0.000
Al2 0.250 0.250 0.000
Te1 0.000 0.500 0.000
S1 0.015 0.242 0.792
S2 0.234 0.000 0.197
S3 0.243 0.500 0.208
```

The value obtained for the uncorrected formation energy is -0.4660 eV/atom.



First-principles (PBE) data for TlIn2Co after structural relaxation, as listed in Alexandria via LeMat-Bulk.

CIF file:
```
data_TlIn2Co
_space_group_name_H-M_alt 'I -4 2 d'
_space_group_IT_number 122
_space_group_name_Hall 'I -4 2bw'
_cell_length_a 4.528
_cell_length_b 4.528
_cell_length_c 18.676
_cell_angle_alpha 90.00
_cell_angle_beta 90.00
_cell_angle_gamma 90.00
loop_
_atom_site_label
_atom_site_fract_x
_atom_site_fract_y
_atom_site_fract_z
Tl1 0.000 0.000 0.000
In1 0.200 0.250 0.625
Co1 0.000 0.000 0.500
```

The energy of formation from the pure elements is 0.499 eV/atom. The energy relative to the lowest polymorph listed for this composition comes out at 346 meV per atom.



First-principles (PBE) data for KInGa after structural relaxation, as listed in Alexandria via LeMat-Bulk.

CIF file:
```
data_KInGa
_space_group_name_H-M_alt 'I 4 m m'
_space_group_IT_number 107
_space_group_name_Hall 'I 4 -2'
_cell_length_a 3.718
_cell_length_b 3.718
_cell_length_c 13.195
_cell_angle_alpha 90.00
_cell_angle_beta 90.00
_cell_angle_gamma 90.00
loop_
_atom_site_label
_atom_site_fract_x
_atom_site_fract_y
_atom_site_fract_z
K1 0.000 0.000 0.000
In1 0.000 0.000 0.298
Ga1 0.000 0.000 0.687
```

The energy of formation from the pure elements is -0.016 eV/atom. The energy relative to the lowest polymorph listed for this composition comes out at 95 meV per atom.